Record 1
! AgAsP2Ru | Alexandria via LeMat-Bulk | PBE | optimized geometry; values from VASP
&SYSTEM
  ibrav = 0, nat = 5, ntyp = 4
/
ATOMIC_SPECIES
Ag 107.87 Ag.upf
As 74.92 As.upf
P 30.97 P.upf
Ru 101.07 Ru.upf
ATOMIC_POSITIONS angstrom
Ag 2.364 2.294 2.364
As 0.000 0.000 0.000
P 2.364 0.000 0.000
P 0.000 0.000 2.364
Ru 0.000 2.294 0.000
CELL_PARAMETERS angstrom
4.727 0.000 0.000
0.000 4.589 0.000
0.000 0.000 4.727
! Formation energy from the elements = 1.1412 eV per atom

=====

Record 2
! AgAsP2S | Alexandria via LeMat-Bulk | PBE | optimized geometry; values from VASP
&SYSTEM
  ibrav = 0, nat = 5, ntyp = 4
/
ATOMIC_SPECIES
P 30.97 P.upf
S 32.06 S.upf
As 74.92 As.upf
Ag 107.87 Ag.upf
ATOMIC_POSITIONS angstrom
P 2.388 0.000 0.000
P 0.000 2.388 0.000
S 0.000 0.000 2.398
As 2.388 2.388 2.398
Ag 0.000 0.000 0.000
CELL_PARAMETERS angstrom
4.776 0.000 0.000
0.000 4.776 0.000
0.000 0.000 4.796
! ΔE to the lowest computed polymorph = 301 meV/atom
! Formation energy without anion corrections = 1.24 eV/atom

=====

Record 3
! AgAsP2S | Alexandria via LeMat-Bulk | PBE | optimized geometry; values from VASP
&SYSTEM
  ibrav = 0, nat = 5, ntyp = 4
/
ATOMIC_SPECIES
S 32.06 S.upf
P 30.97 P.upf
As 74.92 As.upf
Ag 107.87 Ag.upf
ATOMIC_POSITIONS angstrom
S 0.000 0.000 2.424
P 2.362 0.000 0.000
P 0.000 2.362 0.000
As 0.000 0.000 0.000
Ag 2.362 2.362 2.424
CELL_PARAMETERS angstrom
4.725 0.000 0.000
0.000 4.725 0.000
0.000 0.000 4.847
! ΔE to the lowest computed polymorph = 0 meV/atom
! Formation energy without anion corrections = 0.94 eV/atom

=====

Record 4
! AgAs2PSe | Alexandria via LeMat-Bulk | PBE | optimized geometry; values from VASP
&SYSTEM
  ibrav = 0, nat = 5, ntyp = 4
/
ATOMIC_SPECIES
As 74.92 As.upf
Ag 107.87 Ag.upf
P 30.97 P.upf
Se 78.96 Se.upf
ATOMIC_POSITIONS angstrom
As 2.304 -0.464 -0.261
As -0.469 -2.318 -0.021
Ag 2.102 -2.858 2.203
P 0.000 0.000 0.000
Se 0.266 -0.077 2.486
CELL_PARAMETERS angstrom
-0.937 -4.636 -0.043
4.608 -0.927 -0.522
0.532 -0.154 4.971
! ΔE to the lowest computed polymorph = 0 meV/atom
! Formation energy without anion corrections = 0.68 eV/atom

=====

Record 5
! AgAs2PSe | Alexandria via LeMat-Bulk | PBE | optimized geometry; values from VASP
&SYSTEM
  ibrav = 0, nat = 5, ntyp = 4
/
ATOMIC_SPECIES
As 74.92 As.upf
P 30.97 P.upf
Se 78.96 Se.upf
Ag 107.87 Ag.upf
ATOMIC_POSITIONS angstrom
As 0.718 -2.289 0.615
As -0.549 -0.786 -2.283
P -2.176 -3.609 -0.920
Se -2.345 -0.535 0.747
Ag 0.000 0.000 0.000
CELL_PARAMETERS angstrom
-1.097 -1.572 -4.566
1.436 -4.577 1.231
-4.690 -1.069 1.495
! ΔE to the lowest computed polymorph = 520 meV/atom
! Formation energy without anion corrections = 1.20 eV/atom

=====

Record 6
! TlAgAsP2 | Alexandria via LeMat-Bulk | PBE | optimized geometry; values from VASP
&SYSTEM
  ibrav = 0, nat = 5, ntyp = 4
/
ATOMIC_SPECIES
Ag 107.87 Ag.upf
P 30.97 P.upf
Tl 204.38 Tl.upf
As 74.92 As.upf
ATOMIC_POSITIONS angstrom
Ag 0.000 2.599 0.000
P 0.000 0.000 2.544
P 2.544 0.000 0.000
Tl 0.000 0.000 0.000
As 2.544 2.599 2.544
CELL_PARAMETERS angstrom
5.088 0.000 0.000
0.000 5.197 0.000
0.000 0.000 5.088
! Formation energy from the elements = 1.3869 eV per atom

=====

Record 7
! YAg2AsP | Alexandria via LeMat-Bulk | PBE | optimized geometry; values from VASP
&SYSTEM
  ibrav = 0, nat = 5, ntyp = 4
/
ATOMIC_SPECIES
Ag 107.87 Ag.upf
P 30.97 P.upf
Y 88.91 Y.upf
As 74.92 As.upf
ATOMIC_POSITIONS angstrom
Ag 2.249 1.385 0.604
Ag -0.122 -0.913 2.548
P 1.425 -2.027 -0.657
Y 0.000 0.000 0.000
As 3.552 -1.554 2.494
CELL_PARAMETERS angstrom
-0.244 -1.825 5.096
2.850 -4.053 -1.315
4.497 2.771 1.208
! Formation energy from the elements = 1.0344 eV per atom

=====

Record 8
! PaAgAs2 | Alexandria via LeMat-Bulk | PBE | optimized geometry; values from VASP
&SYSTEM
  ibrav = 0, nat = 4, ntyp = 3
/
ATOMIC_SPECIES
Pa 231.04 Pa.upf
Ag 107.87 Ag.upf
As 74.92 As.upf
ATOMIC_POSITIONS angstrom
Pa -3.907 -0.637 4.740
Ag 0.000 0.000 0.000
As -5.566 -0.877 2.214
As -2.249 -0.398 7.265
CELL_PARAMETERS angstrom
-2.948 1.147 -0.159
-2.463 -1.983 -0.181
-2.403 -0.440 9.819
! Formation energy from the elements = -0.0793 eV per atom

=====

Record 9
! PaAgAs2 | Alexandria via LeMat-Bulk | PBE | optimized geometry; values from VASP
&SYSTEM
  ibrav = 0, nat = 4, ntyp = 3
/
ATOMIC_SPECIES
As 74.92 As.upf
Pa 231.04 Pa.upf
Ag 107.87 Ag.upf
ATOMIC_POSITIONS angstrom
As 0.000 0.000 2.311
As 0.000 2.311 0.000
Pa 1.881 0.000 0.000
Ag 1.881 2.311 2.311
CELL_PARAMETERS angstrom
3.762 0.000 0.000
0.000 4.623 0.000
0.000 0.000 4.623
! Formation energy from the elements = -0.5885 eV per atom

=====

Record 10
! PaAgAs2 | Alexandria via LeMat-Bulk | PBE | optimized geometry; values from VASP
&SYSTEM
  ibrav = 0, nat = 4, ntyp = 3
/
ATOMIC_SPECIES
As 74.92 As.upf
Pa 231.04 Pa.upf
Ag 107.87 Ag.upf
ATOMIC_POSITIONS angstrom
As -6.539 6.008 1.289
As -2.180 2.003 0.430
Pa 0.000 0.000 0.000
Ag -4.359 4.005 0.859
CELL_PARAMETERS angstrom
-1.002 4.750 0.539
-4.137 1.846 -1.827
-3.580 1.415 3.007
! Formation energy from the elements = -0.4279 eV per atom

=====

Record 11
! Sr4Pa3AgAs8 | Alexandria via LeMat-Bulk | PBE | optimized geometry; values from VASP
&SYSTEM
  ibrav = 0, nat = 16, ntyp = 4
/
ATOMIC_SPECIES
As 74.92 As.upf
Sr 87.62 Sr.upf
Ag 107.87 Ag.upf
Pa 231.04 Pa.upf
ATOMIC_POSITIONS angstrom
As 6.325 2.334 0.196
As 4.271 4.136 2.919
As 2.054 1.997 5.879
As 4.271 0.282 3.100
As 0.000 0.195 3.156
As 2.218 2.334 0.196
As 0.000 4.049 2.975
As -2.054 1.997 5.879
Sr 0.000 0.000 0.000
Sr -2.136 -2.134 3.022
Sr 4.271 0.000 0.000
Sr 2.136 -2.134 3.022
Ag 0.000 4.299 0.016
Pa 4.271 4.299 0.016
Pa 2.136 2.165 3.038
Pa -2.136 2.165 3.038
CELL_PARAMETERS angstrom
8.543 0.000 0.000
0.000 8.598 0.031
-4.271 -4.267 6.044
! Formation energy from the elements = -0.9683 eV per atom

=====

Record 12
! AgAsPb2 | Alexandria via LeMat-Bulk | PBE | optimized geometry; values from VASP
&SYSTEM
  ibrav = 0, nat = 4, ntyp = 3
/
ATOMIC_SPECIES
As 74.92 As.upf
Ag 107.87 Ag.upf
Pb 207.20 Pb.upf
ATOMIC_POSITIONS angstrom
As 0.448 -2.831 -1.484
Ag -2.678 -1.298 -1.214
Pb -0.489 -0.449 -3.429
Pb 0.000 0.000 0.000
CELL_PARAMETERS angstrom
-3.615 1.084 -3.159
2.637 -1.982 -3.698
-1.741 -3.679 0.730
! Formation energy from the elements = 0.1411 eV per atom

=====

Record 13
! AgAsPb2 | Alexandria via LeMat-Bulk | PBE | optimized geometry; values from VASP
&SYSTEM
  ibrav = 0, nat = 4, ntyp = 3
/
ATOMIC_SPECIES
As 74.92 As.upf
Pb 207.20 Pb.upf
Ag 107.87 Ag.upf
ATOMIC_POSITIONS angstrom
As -0.320 2.777 1.623
Pb 2.441 2.866 -0.044
Pb 0.000 0.000 0.000
Ag 2.792 0.126 1.623
CELL_PARAMETERS angstrom
5.553 0.215 -0.044
-0.672 5.517 -0.044
0.032 0.037 3.290
! Formation energy from the elements = 0.1497 eV per atom

=====

Record 14
! AgAs2Pb | Alexandria via LeMat-Bulk | PBE | optimized geometry; values from VASP
&SYSTEM
  ibrav = 0, nat = 4, ntyp = 3
/
ATOMIC_SPECIES
Ag 107.87 Ag.upf
As 74.92 As.upf
Pb 207.20 Pb.upf
ATOMIC_POSITIONS angstrom
Ag 1.902 1.902 4.768
As 0.000 0.000 6.002
As 0.000 0.000 3.533
Pb 1.902 1.902 1.589
CELL_PARAMETERS angstrom
3.804 0.000 0.000
0.000 3.804 0.000
0.000 0.000 6.357
! Formation energy from the elements = 0.1865 eV per atom

=====

Record 15
! AgAsPb2 | Alexandria via LeMat-Bulk | PBE | optimized geometry; values from VASP
&SYSTEM
  ibrav = 0, nat = 4, ntyp = 3
/
ATOMIC_SPECIES
Pb 207.20 Pb.upf
As 74.92 As.upf
Ag 107.87 Ag.upf
ATOMIC_POSITIONS angstrom
Pb 3.367 -7.148 1.629
Pb -0.255 -2.561 2.178
As 1.505 -5.244 3.261
Ag 1.645 -4.482 0.578
CELL_PARAMETERS angstrom
-2.906 -0.672 3.058
-0.302 -4.124 -1.193
3.969 -3.382 3.028
! Formation energy from the elements = 0.0303 eV per atom

=====

Record 16
! Ag3AsPb | Alexandria via LeMat-Bulk | PBE | optimized geometry; values from VASP
&SYSTEM
  ibrav = 0, nat = 5, ntyp = 3
/
ATOMIC_SPECIES
Ag 107.87 Ag.upf
Pb 207.20 Pb.upf
As 74.92 As.upf
ATOMIC_POSITIONS angstrom
Ag -0.978 -2.312 0.070
Ag -1.610 0.626 -1.823
Ag 1.661 -0.755 -1.726
Pb -0.927 -2.441 -3.479
As 0.000 0.000 0.000
CELL_PARAMETERS angstrom
-3.219 1.252 -3.647
3.322 -1.510 -3.451
-1.957 -4.624 0.140
! Formation energy from the elements = 0.3085 eV per atom

=====

Record 17
! AgAs2Pb | Alexandria via LeMat-Bulk | PBE | optimized geometry; values from VASP
&SYSTEM
  ibrav = 0, nat = 4, ntyp = 3
/
ATOMIC_SPECIES
As 74.92 As.upf
Ag 107.87 Ag.upf
Pb 207.20 Pb.upf
ATOMIC_POSITIONS angstrom
As 0.965 1.470 1.957
As 0.000 0.000 0.124
Ag 0.965 1.470 7.354
Pb 0.000 0.000 4.843
CELL_PARAMETERS angstrom
3.281 -0.051 0.000
-1.351 2.990 0.000
0.000 0.000 9.518
! Formation energy from the elements = 0.3130 eV per atom

=====

Record 18
! AgAs2Pb | Alexandria via LeMat-Bulk | PBE | optimized geometry; values from VASP
&SYSTEM
  ibrav = 0, nat = 8, ntyp = 3
/
ATOMIC_SPECIES
Ag 107.87 Ag.upf
Pb 207.20 Pb.upf
As 74.92 As.upf
ATOMIC_POSITIONS angstrom
Ag -1.008 0.074 4.260
Ag 1.289 2.532 7.010
Pb -2.838 3.603 6.016
Pb 0.000 0.000 0.000
As -1.503 4.648 10.685
As 1.278 1.050 4.912
As -0.317 4.517 6.725
As -2.556 2.055 3.731
CELL_PARAMETERS angstrom
-5.135 1.144 3.265
3.119 -0.997 5.255
0.467 5.987 4.506
! Formation energy from the elements = 0.1988 eV per atom

=====

Record 19
! AgAs2Pb | Alexandria via LeMat-Bulk | PBE | optimized geometry; values from VASP
&SYSTEM
  ibrav = 0, nat = 4, ntyp = 3
/
ATOMIC_SPECIES
As 74.92 As.upf
Pb 207.20 Pb.upf
Ag 107.87 Ag.upf
ATOMIC_POSITIONS angstrom
As 2.506 1.447 1.023
As 0.000 0.000 0.000
Pb 7.518 4.341 3.069
Ag 5.012 2.894 2.046
CELL_PARAMETERS angstrom
5.012 0.000 0.000
2.506 4.341 0.000
2.506 1.447 4.092
! Formation energy from the elements = 0.3228 eV per atom

=====

Record 20
! Ag3As5Pb12 | Alexandria via LeMat-Bulk | PBE | optimized geometry; values from VASP
&SYSTEM
  ibrav = 0, nat = 80, ntyp = 3
/
ATOMIC_SPECIES
As 74.92 As.upf
Pb 207.20 Pb.upf
Ag 107.87 Ag.upf
ATOMIC_POSITIONS angstrom
As 3.728 2.636 1.522
As -2.486 7.030 0.000
As 0.000 0.000 0.000
As -1.243 3.515 3.044
As 4.971 -3.515 6.088
As -1.243 11.424 1.522
As 6.214 6.151 4.566
As 3.728 10.545 3.044
As 7.457 0.000 0.000
As -2.486 -3.515 6.088
As -3.728 7.909 4.566
As 8.699 -0.879 7.610
As -1.243 0.879 7.610
As 6.214 -4.394 10.655
As 6.214 3.515 9.132
As 2.486 3.515 6.088
As 1.243 -3.515 9.132
As 1.243 4.394 10.655
As 4.971 7.030 0.000
As -4.971 3.515 6.088
Pb -4.501 6.370 6.783
Pb 5.907 -0.989 7.353
Pb -5.907 3.683 8.908
Pb 6.521 2.358 1.555
Pb 5.387 -1.724 10.912
Pb 10.878 3.347 3.269
Pb -4.922 10.449 4.533
Pb -0.416 5.073 0.861
Pb 2.015 5.544 8.214
Pb -1.550 -3.683 8.908
Pb 2.901 8.987 0.861
Pb 2.956 1.486 3.963
Pb 4.501 -1.486 3.963
Pb 2.070 -1.957 11.316
Pb 7.407 12.665 0.694
Pb -2.436 -5.635 11.482
Pb 6.986 7.690 6.783
Pb 6.521 10.713 3.269
Pb 0.470 8.516 8.214
Pb -0.936 8.019 4.824
Pb 9.992 1.395 0.694
Pb -0.416 8.754 1.264
Pb 7.927 -0.826 2.820
Pb 5.441 6.204 9.357
Pb -2.436 3.419 7.644
Pb -2.015 -0.660 5.394
Pb 7.041 7.263 2.125
Pb -2.956 7.856 9.357
Pb 3.421 6.041 4.824
Pb 2.535 9.246 5.227
Pb -2.070 -0.233 10.051
Pb 1.550 0.989 7.353
Pb -0.050 4.814 5.227
Pb -5.387 0.233 10.051
Pb 10.358 6.797 2.125
Pb -1.550 4.672 10.621
Pb 9.472 0.660 5.394
Pb -4.035 11.702 1.555
Pb -5.021 5.635 11.482
Pb 2.070 1.724 10.912
Pb 5.387 1.957 11.316
Pb -0.470 0.826 2.820
Pb 5.021 2.216 6.949
Pb 2.436 -2.216 6.949
Pb 2.901 5.306 1.264
Pb 7.407 3.611 4.533
Pb 9.893 -3.419 7.644
Pb 9.006 -4.672 10.621
Ag 3.728 7.909 7.610
Ag 1.243 7.030 3.044
Ag -6.214 7.030 9.132
Ag 3.728 0.000 9.132
Ag -3.728 -2.636 10.655
Ag 1.243 -0.879 4.566
Ag 11.185 0.000 3.044
Ag 8.699 9.666 1.522
Ag -3.728 2.636 10.655
Ag 8.699 4.394 1.522
Ag -1.243 6.151 7.610
Ag 6.214 0.879 4.566
CELL_PARAMETERS angstrom
14.913 0.000 0.000
-4.971 14.060 0.000
-4.971 -7.030 12.177
! Formation energy from the elements = 0.1489 eV per atom

=====

no.,energy (eV per atom)
1,-4.378
2,-3.249
3,-3.550
4,-3.526
5,-3.007
6,-2.750
7,-3.411
8,-5.491
9,-6.000
10,-5.839
11,-5.672
12,-3.588
13,-3.580
14,-3.778
15,-3.699
16,-3.074
17,-3.652
18,-3.766
19,-3.642
20,-3.666